(1)
A geometry-optimized Be2ZnOs structure, computed with GGA-PBE.

POSCAR file:
```
Be2ZnOs
1.0
2.6448 -0.0010 0.0000
-1.1314 2.3906 0.0000
0.0000 0.0000 7.6543
Zn Be Os
1 2 1
direct
0.5000 0.5000 0.7500
0.0000 0.0000 0.0126
0.0000 0.0000 0.4874
0.5000 0.5000 0.2500
```

Summary:
Energy of formation from the pure elements (eV/atom): 0.183
Space-group type: Cmmm
Spin magnetization (Bohr magnetons per cell): 0.0
N(E_F) (states/eV per atom): 0.380
V (Å³/cell): 48.4
Raw total energy (eV per atom): -4.8060

=====

(2)
A geometry-optimized PmUPbO6 structure, computed with GGA-PBE.

POSCAR file:
```
PmUPbO6
1.0
-4.6589 -1.3122 -1.9499
2.2977 -3.4538 -3.1656
-1.0178 -7.5833 7.5349
Pb O U Pm
2 12 2 2
direct
0.0000 0.0000 0.9982
0.5000 0.5000 0.4982
0.3185 0.3185 0.9845
0.7847 0.2153 0.8316
0.2153 0.7847 0.8316
0.1840 0.8160 0.1841
0.8185 0.1815 0.4845
0.1815 0.8185 0.4845
0.6815 0.6815 0.9845
0.7153 0.7153 0.3316
0.2847 0.2847 0.3316
0.8160 0.1840 0.1841
0.3160 0.3160 0.6841
0.6840 0.6840 0.6841
0.5000 0.5000 0.8336
0.0000 0.0000 0.3336
0.5000 0.5000 0.1678
0.0000 0.0000 0.6678
```

Summary:
Space-group type: P4_2nm
Spin magnetization (Bohr magnetons per cell): 0.0
Energy relative to the elements, uncorrected (eV/atom): -2.5798
N(E_F) (states/eV per atom): 0.408
V (Å³/cell): 292.4
Raw total energy (eV per atom): -8.0794

=====

(3)
A geometry-optimized BaPu2BrO4 structure, computed with GGA-PBE.

POSCAR file:
```
BaPu2BrO4
1.0
-0.3376 2.7019 2.9645
-2.3280 -2.5546 2.0632
8.0186 -3.7842 4.3622
O Pu Ba Br
4 2 1 1
direct
0.5000 0.0000 0.1879
0.0000 0.5000 0.8121
0.0000 0.5000 0.1879
0.5000 0.0000 0.8121
0.5000 0.5000 0.2732
0.5000 0.5000 0.7268
0.0000 0.0000 0.0000
0.0000 0.0000 0.5000
```

Summary:
Space-group type: P4/mmm
Spin magnetization (Bohr magnetons per cell): 9.0
Energy relative to the elements, uncorrected (eV/atom): -2.6341
N(E_F) (states/eV per atom): 1.953
V (Å³/cell): 160.1
Raw total energy (eV per atom): -9.1456